Here is a relaxed structure of Na4PuNi3O8 from Alexandria via LeMat-Bulk. Energies are from PBE with a Hubbard U.

a b c (Å): 6.2465 6.2465 16.3224
angles (deg): 90.00 90.00 120.00
Space group R-3m (No. 166, hexagonal axes)
Symmetry-distinct sites (fractional):
Na: 0.0000 0.0000 0.0000 x3
Na: 0.0000 0.5000 0.0000 x9
Pu: 0.0000 0.0000 0.5000 x3
Ni: 0.0000 0.5000 0.5000 x9
O: 0.0000 0.0000 0.2296 x6
O: 0.0106 0.5053 0.2378 x18

Properties
Its calculated density is 5.78 Mg/m³. The total magnetization comes out at 0.500 μB per atom. Its total energy is -93.485 eV per formula unit. The density of states at the Fermi level is 8.08 states/eV/f.u.